Entry 1:
Density functional theory data (PBE-GGA) for an optimized crystal structure of CoNi7Ge2Sb2.

Calculated values
Total magnetic moment ... 3.2 Bohr magnetons per cell
Energy relative to the elements, uncorrected ... -0.01 eV per atom
Space-group type ... C2/m (12)
Calculated total energy ... -65.2 eV per cell

a b c (Å): 3.630 3.630 13.696
angles (deg): 94.45 94.45 90.60
Fractional coordinates of all 12 atoms:
Co (0.000, 0.000, 0.000)
Ni (0.037, 0.537, 0.125)
Ni (0.365, 0.365, 0.585)
Ni (0.463, 0.963, 0.875)
Ni (0.500, 0.500, 0.000)
Ni (0.537, 0.037, 0.125)
Ni (0.635, 0.635, 0.415)
Ni (0.963, 0.463, 0.875)
Ge (0.428, 0.428, 0.760)
Ge (0.572, 0.572, 0.240)
Sb (0.137, 0.137, 0.402)
Sb (0.863, 0.863, 0.598)



Entry 2:
Density functional theory data (PBE-GGA) for an optimized crystal structure of Be2ZnCoAu.

Calculated values
Total magnetic moment ... 2.1 Bohr magnetons per cell
Space-group type ... P4/mmm (123)
Calculated total energy ... -14.9 eV per cell
DFT formation energy ... 847 meV per atom

a b c (Å): 4.276 4.276 4.849
angles (deg): 90.00 90.00 90.00
Fractional coordinates of all 5 atoms:
Be (0.000, 0.500, 0.000)
Be (0.500, 0.000, 0.000)
Zn (0.000, 0.000, 0.500)
Co (0.500, 0.500, 0.500)
Au (0.500, 0.500, 0.000)



Entry 3:
Density functional theory data (PBE-GGA) for an optimized crystal structure of CrCoHg2.

Calculated values
Total magnetic moment ... 5.0 Bohr magnetons per cell
Polymorph energy (0 for the lowest one) ... 0.1853 eV/atom
Space-group type ... I-4m2 (119)
Calculated total energy ... -15.1 eV per cell
DFT formation energy ... 552 meV per atom

a b c (Å): 5.095 5.095 5.095
angles (deg): 133.45 133.45 67.95
Fractional coordinates of all 4 atoms:
Cr (0.000, 0.000, 0.000)
Co (0.750, 0.250, 0.500)
Hg (0.250, 0.750, 0.500)
Hg (0.500, 0.500, 0.000)



Entry 4:
Density functional theory data (PBE-GGA) for an optimized crystal structure of AgAsBr2.

Calculated values
Total magnetic moment ... 0.0 Bohr magnetons per cell
Energy relative to the elements, uncorrected ... 0.14 eV per atom
Polymorph energy (0 for the lowest one) ... 0.2718 eV/atom
Space-group type ... P2/m (10)
Calculated total energy ... -10.3 eV per cell

a b c (Å): 3.441 4.140 7.471
angles (deg): 90.00 100.90 90.00
Fractional coordinates of all 4 atoms:
Ag (0.000, 0.000, 0.000)
As (0.000, 0.000, 0.500)
Br (0.099, 0.500, 0.751)
Br (0.901, 0.500, 0.249)



Q: Among the records above, which one has the highest calculated total energy?
A: AgAsBr2



Q: Which value of total magnetic moment does entry 2 give?
A: 2.1 Bohr magnetons per cell



Q: What is the calculated total energy in the second record?
A: -14.9 eV per cell



Q: Number 4 is which compound?
A: AgAsBr2